Entry 1:
A plane-wave DFT calculation with GGA-PBE was carried out for a relaxed Zr4FeOs crystal.

Lattice parameters (Å, degrees): 5.534 5.534 5.534 60.00 60.00 60.00
Fractional positions:
Zr: 0.374 0.374 0.878
Zr: 0.878 0.374 0.374
Zr: 0.374 0.878 0.374
Zr: 0.374 0.374 0.374
Os: 0.000 0.000 0.000
Fe: 0.750 0.750 0.750

The symmetry is No. 216. The calculation puts the distance to the lowest polymorph of the same formula at 0.595 eV/atom.

=====

Entry 2:
A plane-wave DFT calculation with GGA-PBE was carried out for a relaxed La3Rh4 crystal.

Lattice parameters (Å, degrees): 6.821 6.821 4.443 90.00 90.00 120.00
Fractional positions:
Rh: 0.667 0.333 0.500
Rh: 0.000 0.000 0.251
Rh: 0.000 0.000 0.749
Rh: 0.333 0.667 0.500
La: 0.000 0.500 0.000
La: 0.500 0.500 0.000
La: 0.500 0.000 0.000

The symmetry is No. 191. The calculation puts the distance to the lowest polymorph of the same formula at 0.471 eV/atom.